Record 1
Here is a relaxed LaPr4Nd2Tm2 crystal from Alexandria via LeMat-Bulk. Energies are from PBE-GGA.

Results
total moment = 0.000 μB/atom
DFT formation energy = 0.023 eV/atom
DFT total energy = -4.702 eV per atom
DOS(E_F) = 29.82 states/eV/cell

a = 15.5577 Å, b = 5.1858 Å, c = 8.1732 Å
α = 90.00°, β = 108.47°, γ = 90.00°
Space group C2/m (No. 12)
Inequivalent atoms, fractional coordinates:
La1 0.0000 0.0000 0.0000 [2 per cell]
Pr1 0.0552 0.5000 0.3313 [4 per cell]
Pr2 0.2222 0.0000 0.3282 [4 per cell]
Nd1 0.1120 0.0000 0.6685 [4 per cell]
Tm1 0.1691 0.5000 0.9986 [4 per cell]

***

Record 2
Here is a relaxed CaTmSc2Au4 crystal from Alexandria via LeMat-Bulk. Energies are from PBE-GGA.

Results
total moment = 0.000 μB/atom
DFT formation energy = -0.788 eV/atom
DFT total energy = -4.819 eV per atom
DOS(E_F) = 14.25 states/eV/cell

a = 4.9269 Å, b = 4.9269 Å, c = 24.4301 Å
α = 90.00°, β = 90.00°, γ = 120.00°
Space group R-3m (No. 166, hexagonal axes)
Inequivalent atoms, fractional coordinates:
Ca1 0.0000 0.0000 0.0000 [3 per cell]
Tm1 0.0000 0.0000 0.5000 [3 per cell]
Sc1 0.0000 0.0000 0.2510 [6 per cell]
Au1 0.0000 0.0000 0.1298 [6 per cell]
Au2 0.0000 0.0000 0.3799 [6 per cell]

***

Record 3
Here is a relaxed BaLaNO2 crystal from Alexandria via LeMat-Bulk. Energies are from PBE-GGA.

Results
total moment = 0.072 μB/atom
uncorrected formation energy = -3.20 eV per formula unit
DFT total energy = -5.658 eV per atom
DOS(E_F) = 2.22 states/eV/cell

a = 4.6145 Å, b = 4.6145 Å, c = 4.6330 Å
α = 90.00°, β = 90.00°, γ = 90.00°
Space group P4/mmm (No. 123)
Inequivalent atoms, fractional coordinates:
Ba1 0.0000 0.0000 0.0000 [1 per cell]
La1 0.5000 0.5000 0.5000 [1 per cell]
N1 0.0000 0.0000 0.5000 [1 per cell]
O1 0.0000 0.5000 0.0000 [2 per cell]

***

Record 4
Here is a relaxed SrCdInNi crystal from Alexandria via LeMat-Bulk. Energies are from PBE-GGA.

Results
total moment = 0.000 μB/atom
DFT formation energy = -0.019 eV/atom
DFT total energy = -2.798 eV per atom
energy above the lowest structure with this stoichiometry = 0.1770 eV/atom
DOS(E_F) = 1.95 states/eV/cell

a = 3.5651 Å, b = 3.5651 Å, c = 7.5818 Å
α = 90.00°, β = 90.00°, γ = 90.00°
Space group P4mm (No. 99)
Inequivalent atoms, fractional coordinates:
Sr1 0.0000 0.0000 0.0000 [1 per cell]
Cd1 0.0000 0.0000 0.5809 [1 per cell]
In1 0.5000 0.5000 0.3363 [1 per cell]
Ni1 0.5000 0.5000 0.7137 [1 per cell]

***

Record 5
Here is a relaxed As2AuSeS crystal from Alexandria via LeMat-Bulk. Energies are from PBE-GGA.

Results
total moment = 0.083 μB/atom
uncorrected formation energy = 5.29 eV per formula unit
DFT total energy = -2.979 eV per atom
energy above the lowest structure with this stoichiometry = 0.2372 eV/atom
DOS(E_F) = 5.84 states/eV/cell

a = 5.0425 Å, b = 5.0425 Å, c = 5.0345 Å
α = 90.00°, β = 90.00°, γ = 90.00°
Space group P4/mmm (No. 123)
Inequivalent atoms, fractional coordinates:
As1 0.0000 0.5000 0.0000 [2 per cell]
Au1 0.0000 0.0000 0.0000 [1 per cell]
Se1 0.0000 0.0000 0.5000 [1 per cell]
S1 0.5000 0.5000 0.5000 [1 per cell]

***

Record 6
Here is a relaxed Y4TcPt crystal from Alexandria via LeMat-Bulk. Energies are from PBE-GGA.

Results
total moment = 0.000 μB/atom
DFT formation energy = -0.498 eV/atom
DFT total energy = -7.542 eV per atom
energy above the lowest structure with this stoichiometry = 0.0000 eV/atom
DOS(E_F) = 18.91 states/eV/cell

a = 9.0433 Å, b = 13.0101 Å, c = 6.4309 Å
α = 90.00°, β = 124.30°, γ = 90.00°
Space group C2/c (No. 15)
Inequivalent atoms, fractional coordinates:
Y1 0.1259 0.1753 0.0962 [8 per cell]
Y2 0.2003 0.4371 0.2720 [8 per cell]
Tc1 0.0000 0.0008 0.7500 [4 per cell]
Pt1 0.0000 0.3644 0.7500 [4 per cell]

***

Record 7
Here is a relaxed AlBi3O9 crystal from Alexandria via LeMat-Bulk. Energies are from PBE-GGA.

Results
total moment = 0.000 μB/atom
uncorrected formation energy = -14.26 eV per formula unit
DFT total energy = -5.713 eV per atom
energy above the lowest structure with this stoichiometry = 0.0000 eV/atom
DOS(E_F) = 5.21 states/eV/cell

a = 10.2894 Å, b = 5.2895 Å, c = 13.2686 Å
α = 90.00°, β = 94.46°, γ = 90.00°
Space group Cc (No. 9)
Inequivalent atoms, fractional coordinates:
Al1 0.0000 0.0113 0.0000 [4 per cell]
Bi1 0.0836 0.0062 0.2360 [4 per cell]
Bi2 0.2321 0.4839 0.5658 [4 per cell]
Bi3 0.4072 0.0071 0.8851 [4 per cell]
O1 0.0356 0.1754 0.8770 [4 per cell]
O2 0.0786 0.3030 0.4722 [4 per cell]
O3 0.1388 0.1552 0.0837 [4 per cell]
O4 0.1877 0.3303 0.7037 [4 per cell]
O5 0.2523 0.1756 0.3036 [4 per cell]
O6 0.3371 0.3593 0.9399 [4 per cell]
O7 0.3820 0.2085 0.5195 [4 per cell]
O8 0.4315 0.3860 0.1242 [4 per cell]
O9 0.4687 0.1696 0.7536 [4 per cell]

***

Record 8
Here is a relaxed Ag3GeMo crystal from Alexandria via LeMat-Bulk. Energies are from PBE-GGA.

Results
total moment = 0.665 μB/atom
DFT formation energy = 1.624 eV/atom
DFT total energy = -3.177 eV per atom
energy above the lowest structure with this stoichiometry = 0.5484 eV/atom
DOS(E_F) = 4.29 states/eV/cell

a = 5.1374 Å, b = 5.1374 Å, c = 5.1374 Å
α = 90.00°, β = 90.00°, γ = 90.00°
Space group Pm-3m (No. 221)
Inequivalent atoms, fractional coordinates:
Ag1 0.0000 0.0000 0.5000 [3 per cell]
Ge1 0.5000 0.5000 0.5000 [1 per cell]
Mo1 0.0000 0.0000 0.0000 [1 per cell]

***

Record 9
Here is a relaxed Be2HgAs crystal from Alexandria via LeMat-Bulk. Energies are from PBE-GGA.

Results
total moment = 0.000 μB/atom
DFT formation energy = 0.550 eV/atom
DFT total energy = -2.551 eV per atom
DOS(E_F) = 1.04 states/eV/cell

a = 3.3484 Å, b = 3.6179 Å, c = 5.2697 Å
α = 90.00°, β = 90.00°, γ = 90.00°
Space group Pmmm (No. 47)
Inequivalent atoms, fractional coordinates:
Be1 0.0000 0.0000 0.0000 [1 per cell]
Be2 0.0000 0.5000 0.5000 [1 per cell]
Hg1 0.5000 0.0000 0.5000 [1 per cell]
As1 0.5000 0.5000 0.0000 [1 per cell]

***

Record 10
Here is a relaxed Y2Si2NiRh5 crystal from Alexandria via LeMat-Bulk. Energies are from PBE-GGA.

Results
total moment = 0.065 μB/atom
uncorrected formation energy = -7.66 eV per formula unit
DFT total energy = -7.398 eV per atom
DOS(E_F) = 20.94 states/eV/cell

a = 9.6873 Å, b = 9.6873 Å, c = 3.4393 Å
α = 90.00°, β = 90.00°, γ = 90.00°
Space group P4/mbm (No. 127)
Inequivalent atoms, fractional coordinates:
Y1 0.1742 0.3258 0.0000 [4 per cell]
Si1 0.1266 0.6266 0.0000 [4 per cell]
Ni1 0.0000 0.0000 0.0000 [2 per cell]
Rh1 0.0000 0.5000 0.5000 [2 per cell]
Rh2 0.0670 0.7912 0.5000 [8 per cell]

***

Record 11
Here is a relaxed Ga2PdRh crystal from Alexandria via LeMat-Bulk. Energies are from PBE-GGA.

Results
total moment = 0.000 μB/atom
DFT formation energy = -0.634 eV/atom
DFT total energy = -5.283 eV per atom
DOS(E_F) = 2.78 states/eV/cell

a = 3.1606 Å, b = 4.2420 Å, c = 8.9503 Å
α = 98.62°, β = 99.97°, γ = 90.00°
Space group P-1 (No. 2)
Inequivalent atoms, fractional coordinates:
Ga1 0.0596 0.2857 0.1198 [2 per cell]
Ga2 0.1837 0.8500 0.3665 [2 per cell]
Pd1 0.3163 0.6539 0.6346 [2 per cell]
Rh1 0.4379 0.2135 0.8774 [2 per cell]

***

Record 12
Here is a relaxed LiAsAu crystal from Alexandria via LeMat-Bulk. Energies are from PBE-GGA.

Results
total moment = 0.000 μB/atom
DFT formation energy = -0.158 eV/atom
DFT total energy = -3.439 eV per atom
DOS(E_F) = 1.47 states/eV/cell

a = 2.9321 Å, b = 2.9321 Å, c = 6.8797 Å
α = 90.00°, β = 90.00°, γ = 120.00°
Space group P3m1 (No. 156)
Inequivalent atoms, fractional coordinates:
Li1 0.0000 0.0000 0.0000 [1 per cell]
As1 0.6667 0.3333 0.3101 [1 per cell]
Au1 0.3333 0.6667 0.6913 [1 per cell]

***

Record 13
Here is a relaxed VPI2N crystal from Alexandria via LeMat-Bulk. Energies are from PBE-GGA.

Results
total moment = 0.199 μB/atom
uncorrected formation energy = 2.63 eV per formula unit
DFT total energy = -4.665 eV per atom
energy above the lowest structure with this stoichiometry = 0.0000 eV/atom
DOS(E_F) = 3.06 states/eV/cell

a = 5.5087 Å, b = 5.5087 Å, c = 3.6542 Å
α = 90.00°, β = 90.00°, γ = 90.00°
Space group P4/mmm (No. 123)
Inequivalent atoms, fractional coordinates:
V1 0.0000 0.0000 0.0000 [1 per cell]
P1 0.5000 0.5000 0.5000 [1 per cell]
I1 0.0000 0.5000 0.0000 [2 per cell]
N1 0.0000 0.0000 0.5000 [1 per cell]

***

Record 14
Here is a relaxed Mg2FeRe crystal from Alexandria via LeMat-Bulk. Energies are from PBE-GGA.

Results
total moment = 0.543 μB/atom
DFT formation energy = 0.342 eV/atom
DFT total energy = -5.683 eV per atom
energy above the lowest structure with this stoichiometry = 0.2166 eV/atom
DOS(E_F) = 9.03 states/eV/cell

a = 2.7946 Å, b = 2.7946 Å, c = 27.7373 Å
α = 90.00°, β = 90.00°, γ = 120.00°
Space group R-3m (No. 166, hexagonal axes)
Inequivalent atoms, fractional coordinates:
Mg1 0.0000 0.0000 0.2476 [6 per cell]
Fe1 0.0000 0.0000 0.5000 [3 per cell]
Re1 0.0000 0.0000 0.0000 [3 per cell]

***

Record 15
Here is a relaxed FePdBr3 crystal from Alexandria via LeMat-Bulk. Energies are from PBE-GGA.

Results
total moment = 0.943 μB/atom
uncorrected formation energy = 1.22 eV per formula unit
DFT total energy = -3.491 eV per atom
energy above the lowest structure with this stoichiometry = 0.0000 eV/atom
DOS(E_F) = 9.07 states/eV/cell

a = 5.0581 Å, b = 5.0581 Å, c = 5.0581 Å
α = 90.00°, β = 90.00°, γ = 90.00°
Space group Pm-3m (No. 221)
Inequivalent atoms, fractional coordinates:
Fe1 0.0000 0.0000 0.0000 [1 per cell]
Pd1 0.5000 0.5000 0.5000 [1 per cell]
Br1 0.0000 0.0000 0.5000 [3 per cell]

***

Record 16
Here is a relaxed OsRuS2N crystal from Alexandria via LeMat-Bulk. Energies are from PBE-GGA.

Results
total moment = 0.440 μB/atom
uncorrected formation energy = 4.88 eV per formula unit
DFT total energy = -6.442 eV per atom
energy above the lowest structure with this stoichiometry = 0.0000 eV/atom
DOS(E_F) = 7.23 states/eV/cell

a = 4.7668 Å, b = 4.7668 Å, c = 3.6439 Å
α = 90.00°, β = 90.00°, γ = 90.00°
Space group P4/mmm (No. 123)
Inequivalent atoms, fractional coordinates:
Os1 0.0000 0.0000 0.0000 [1 per cell]
Ru1 0.5000 0.5000 0.5000 [1 per cell]
S1 0.0000 0.5000 0.0000 [2 per cell]
N1 0.0000 0.0000 0.5000 [1 per cell]

***

Record 17
Here is a relaxed ScTa2Au crystal from Alexandria via LeMat-Bulk. Energies are from PBE-GGA.

Results
total moment = 0.000 μB/atom
DFT formation energy = 0.057 eV/atom
DFT total energy = -8.272 eV per atom
energy above the lowest structure with this stoichiometry = 0.1808 eV/atom
DOS(E_F) = 8.47 states/eV/cell

a = 3.3923 Å, b = 4.8836 Å, c = 9.1335 Å
α = 90.00°, β = 90.00°, γ = 90.00°
Space group Imm2 (No. 44)
Inequivalent atoms, fractional coordinates:
Sc1 0.0000 0.0000 0.0000 [2 per cell]
Ta1 0.0000 0.0000 0.4949 [2 per cell]
Ta2 0.0000 0.5000 0.7639 [2 per cell]
Au1 0.0000 0.5000 0.2441 [2 per cell]

***

Record 18
Here is a relaxed NpBeGe crystal from Alexandria via LeMat-Bulk. Energies are from PBE-GGA.

Results
total moment = 1.403 μB/atom
DFT formation energy = 0.221 eV/atom
DFT total energy = -6.874 eV per atom
DOS(E_F) = 11.01 states/eV/cell

a = 3.0860 Å, b = 3.0860 Å, c = 10.6608 Å
α = 90.00°, β = 90.00°, γ = 90.00°
Space group I4mm (No. 107)
Inequivalent atoms, fractional coordinates:
Np1 0.0000 0.0000 0.0000 [2 per cell]
Be1 0.0000 0.0000 0.6842 [2 per cell]
Ge1 0.0000 0.0000 0.2922 [2 per cell]

***

Record 19
Here is a relaxed ScCdPb3 crystal from Alexandria via LeMat-Bulk. Energies are from PBE-GGA.

Results
total moment = 0.000 μB/atom
DFT formation energy = 0.051 eV/atom
DFT total energy = -3.623 eV per atom
energy above the lowest structure with this stoichiometry = 0.0000 eV/atom
DOS(E_F) = 3.21 states/eV/cell

a = 3.5933 Å, b = 4.7784 Å, c = 8.5995 Å
α = 90.07°, β = 90.00°, γ = 90.04°
Space group P1 (No. 1)
Inequivalent atoms, fractional coordinates:
Sc1 0.0000 0.0000 0.0000 [1 per cell]
Cd1 0.9875 0.3897 0.4987 [1 per cell]
Pb1 0.4858 0.8968 0.5020 [1 per cell]
Pb2 0.4974 0.4942 0.1809 [1 per cell]
Pb3 0.4976 0.4940 0.8190 [1 per cell]

***

Record 20
Here is a relaxed Cr2AgCl crystal from Alexandria via LeMat-Bulk. Energies are from PBE-GGA.

Results
total moment = 2.177 μB/atom
uncorrected formation energy = 1.30 eV per formula unit
DFT total energy = -5.660 eV per atom
energy above the lowest structure with this stoichiometry = 0.1554 eV/atom
DOS(E_F) = 2.76 states/eV/cell

a = 3.1916 Å, b = 3.4889 Å, c = 7.1121 Å
α = 90.00°, β = 90.00°, γ = 90.00°
Space group Pmmm (No. 47)
Inequivalent atoms, fractional coordinates:
Cr1 0.0000 0.0000 0.2186 [2 per cell]
Ag1 0.5000 0.5000 0.0000 [1 per cell]
Cl1 0.5000 0.0000 0.5000 [1 per cell]

***

Record 21
Here is a relaxed BaNb2Pd crystal from Alexandria via LeMat-Bulk. Energies are from PBE-GGA.

Results
total moment = 0.000 μB/atom
DFT formation energy = 0.818 eV/atom
DFT total energy = -5.996 eV per atom
energy above the lowest structure with this stoichiometry = 0.0115 eV/atom
DOS(E_F) = 14.03 states/eV/cell

a = 6.8621 Å, b = 6.8621 Å, c = 6.8621 Å
α = 90.00°, β = 90.00°, γ = 90.00°
Space group Fm-3m (No. 225)
Inequivalent atoms, fractional coordinates:
Ba1 0.0000 0.0000 0.0000 [4 per cell]
Nb1 0.2500 0.2500 0.2500 [8 per cell]
Pd1 0.0000 0.0000 0.5000 [4 per cell]

***

Record 22
Here is a relaxed PuTlGeS4 crystal from Alexandria via LeMat-Bulk. Energies are from PBE-GGA.

Results
total moment = 0.714 μB/atom
uncorrected formation energy = -5.70 eV per formula unit
DFT total energy = -6.217 eV per atom
DOS(E_F) = 23.27 states/eV/cell

a = 6.6075 Å, b = 6.6156 Å, c = 8.7741 Å
α = 90.00°, β = 107.00°, γ = 90.00°
Space group P2_1/m (No. 11)
Inequivalent atoms, fractional coordinates:
Pu1 0.2314 0.2500 0.0561 [2 per cell]
Tl1 0.2609 0.2500 0.5672 [2 per cell]
Ge1 0.2253 0.7500 0.8238 [2 per cell]
S1 0.0007 0.5089 0.2105 [4 per cell]
S2 0.4245 0.7500 0.6608 [2 per cell]
S3 0.4266 0.7500 0.0771 [2 per cell]

***

Record 23
Here is a relaxed SrSb2Au crystal from Alexandria via LeMat-Bulk. Energies are from PBE-GGA.

Results
total moment = 0.000 μB/atom
uncorrected formation energy = -1.54 eV per formula unit
DFT total energy = -3.685 eV per atom
DOS(E_F) = 1.08 states/eV/cell

a = 3.9456 Å, b = 3.9456 Å, c = 7.1813 Å
α = 90.00°, β = 90.00°, γ = 90.00°
Space group P4mm (No. 99)
Inequivalent atoms, fractional coordinates:
Sr1 0.0000 0.0000 0.0000 [1 per cell]
Sb1 0.0000 0.0000 0.4810 [1 per cell]
Sb2 0.5000 0.5000 0.6733 [1 per cell]
Au1 0.5000 0.5000 0.2407 [1 per cell]

***

Record 24
Here is a relaxed AsOs3 crystal from Alexandria via LeMat-Bulk. Energies are from PBE-GGA.

Results
total moment = 0.000 μB/atom
DFT formation energy = 0.397 eV/atom
DFT total energy = -9.188 eV per atom
energy above the lowest structure with this stoichiometry = 0.1454 eV/atom
DOS(E_F) = 3.70 states/eV/cell

a = 2.8555 Å, b = 2.8555 Å, c = 7.1017 Å
α = 90.00°, β = 90.00°, γ = 90.00°
Space group P4/mmm (No. 123)
Inequivalent atoms, fractional coordinates:
As1 0.0000 0.0000 0.0000 [1 per cell]
Os1 0.0000 0.0000 0.5000 [1 per cell]
Os2 0.5000 0.5000 0.2409 [2 per cell]

***

Record 25
Here is a relaxed CaTeWI2 crystal from Alexandria via LeMat-Bulk. Energies are from PBE-GGA.

Results
total moment = 0.533 μB/atom
uncorrected formation energy = 0.92 eV per formula unit
DFT total energy = -4.054 eV per atom
energy above the lowest structure with this stoichiometry = 0.0000 eV/atom
DOS(E_F) = 2.75 states/eV/cell

a = 5.5500 Å, b = 5.5500 Å, c = 5.4911 Å
α = 90.00°, β = 90.00°, γ = 90.00°
Space group P4/mmm (No. 123)
Inequivalent atoms, fractional coordinates:
Ca1 0.0000 0.0000 0.0000 [1 per cell]
Te1 0.5000 0.5000 0.0000 [1 per cell]
W1 0.5000 0.5000 0.5000 [1 per cell]
I1 0.0000 0.5000 0.5000 [2 per cell]